This record from Alexandria describes Ho3Pa5As8 after structural relaxation. The functional is GGA-PBE.

## Properties
formation energy	-1.217	eV/atom
density of states at the Fermi level	1.105	states/eV per atom
volume	24.192	Å³ per atom

```
Ho3Pa5As8
1.0
-6.9560 2.0680 3.7680
-3.3610 -5.0796 5.4554
0.0732 1.9151 7.9561
Ho Pa As
3 5 8
Direct
0.5000 0.0000 0.5000 Ho
0.0000 0.0000 0.5000 Ho
0.0000 0.5000 0.5000 Ho
0.5000 0.0000 0.0000 Pa
0.5000 0.5000 0.0000 Pa
0.0000 0.0000 0.0000 Pa
0.0000 0.5000 0.0000 Pa
0.5000 0.5000 0.5000 Pa
0.2500 0.2500 0.7486 As
0.2500 0.7514 0.7486 As
0.7514 0.2500 0.7486 As
0.7497 0.7497 0.7509 As
0.7500 0.7500 0.2514 As
0.7500 0.2486 0.2514 As
0.2486 0.7500 0.2514 As
0.2503 0.2503 0.2491 As
```

=====

This record from Alexandria describes Ho2PaAs after structural relaxation. The functional is GGA-PBE.

## Properties
formation energy	-0.098	eV/atom
density of states at the Fermi level	1.493	states/eV per atom
volume	28.428	Å³ per atom

```
Ho2PaAs
1.0
3.5764 0.0000 0.0000
1.7882 3.0972 0.0000
1.7882 1.0324 10.2658
As Pa Ho
1 1 2
Direct
0.5000 0.5000 0.5000 As
0.0000 0.0000 0.0000 Pa
0.1078 0.1078 0.6765 Ho
0.8922 0.8922 0.3235 Ho
```

=====

This record from Alexandria describes HoPaAs2 after structural relaxation. The functional is GGA-PBE.

## Properties
formation energy	-0.458	eV/atom
density of states at the Fermi level	0.991	states/eV per atom
energy above the lowest structure with this stoichiometry	0.8186	eV per atom
volume	32.220	Å³ per atom

```
HoPaAs2
1.0
4.1772 0.0000 0.0000
2.0886 3.6175 0.0000
2.0886 1.2058 8.5290
As Pa Ho
2 1 1
Direct
0.1082 0.1082 0.6753 As
0.8918 0.8918 0.3247 As
0.5000 0.5000 0.5000 Pa
0.0000 0.0000 0.0000 Ho
```

=====

This record from Alexandria describes HoPa4As6 after structural relaxation. The functional is GGA-PBE.

## Properties
formation energy	-0.914	eV/atom
density of states at the Fermi level	1.372	states/eV per atom
volume	23.392	Å³ per atom

```
HoPa4As6
1.0
-2.2025 -6.0595 -4.7594
4.6136 -5.0380 4.1897
-6.1758 -1.5154 4.8768
Ho Pa As
2 8 12
Direct
0.5000 0.5000 0.5000 Ho
0.0000 0.0000 0.0000 Ho
0.3619 0.1381 0.2500 Pa
0.8619 0.2500 0.3619 Pa
0.2500 0.6381 0.1381 Pa
0.2500 0.2500 0.7500 Pa
0.7500 0.7500 0.2500 Pa
0.7500 0.3619 0.8619 Pa
0.1381 0.7500 0.6381 Pa
0.6381 0.8619 0.7500 Pa
0.6728 0.0635 0.0841 As
0.0841 0.3272 0.0635 As
0.5841 0.4365 0.1728 As
0.9365 0.0841 0.6728 As
0.5635 0.1728 0.5841 As
0.1728 0.4159 0.4365 As
0.8272 0.5841 0.5635 As
0.4365 0.8272 0.4159 As
0.0635 0.9159 0.3272 As
0.4159 0.5635 0.8272 As
0.9159 0.6728 0.9365 As
0.3272 0.9365 0.9159 As
```

=====

This record from Alexandria describes HoPaAs2 after structural relaxation. The functional is GGA-PBE.

## Properties
formation energy	-1.276	eV/atom
density of states at the Fermi level	1.179	states/eV per atom
energy above the lowest structure with this stoichiometry	0.0000	eV per atom
volume	24.276	Å³ per atom

```
HoPaAs2
1.0
-1.1331 2.3606 5.1639
-5.6251 0.2490 -1.3481
2.6069 -6.5891 0.3383
Ho Pa As
2 2 4
Direct
0.5000 0.5000 0.0000 Ho
0.2500 0.7500 0.5000 Ho
0.7500 0.2500 0.5000 Pa
0.0000 0.0000 0.0000 Pa
0.7505 0.7505 0.5010 As
0.5005 0.0005 0.0010 As
0.2495 0.2495 0.4990 As
0.9995 0.4995 0.9990 As
```

=====

This record from Alexandria describes HoPaAs2 after structural relaxation. The functional is GGA-PBE.

## Properties
formation energy	-1.134	eV/atom
density of states at the Fermi level	0.625	states/eV per atom
energy above the lowest structure with this stoichiometry	0.1427	eV per atom
volume	24.701	Å³ per atom

```
HoPaAs2
1.0
-0.9929 3.7163 1.2303
-2.9153 0.5055 2.7488
3.4478 0.9827 6.4429
Ho Pa As
1 1 2
Direct
0.4945 0.4945 0.5164 Ho
0.6709 0.6709 0.9872 Pa
0.0825 0.0825 0.7524 As
0.2520 0.2520 0.2440 As
```

=====

This record from Alexandria describes HoPa3As4 after structural relaxation. The functional is GGA-PBE.

## Properties
formation energy	-1.162	eV/atom
density of states at the Fermi level	1.287	states/eV per atom
volume	24.227	Å³ per atom

```
HoPa3As4
1.0
-0.1442 2.9419 -6.4395
-1.0575 -6.9849 -0.5569
-8.0837 1.1669 0.7141
As Pa Ho
8 6 2
Direct
0.9982 0.2480 0.6271 As
0.5004 0.2497 0.8755 As
0.4982 0.2480 0.3729 As
0.0004 0.2497 0.1245 As
0.9996 0.7503 0.8755 As
0.5018 0.7520 0.6271 As
0.4996 0.7503 0.1245 As
0.0018 0.7520 0.3729 As
0.7500 0.0000 0.3755 Pa
0.2500 0.0000 0.6245 Pa
0.7500 0.5000 0.6239 Pa
0.7500 0.5000 0.1259 Pa
0.2500 0.5000 0.3761 Pa
0.2500 0.5000 0.8741 Pa
0.7500 0.0000 0.8760 Ho
0.2500 0.0000 0.1240 Ho
```

=====

This record from Alexandria describes Pm2HoPaAs5 after structural relaxation. The functional is GGA-PBE.

## Properties
formation energy	-0.583	eV/atom
density of states at the Fermi level	0.547	states/eV per atom
volume	31.228	Å³ per atom

```
Pm2HoPaAs5
1.0
5.0825 0.0000 0.0000
0.0000 5.0825 0.0000
0.0000 0.0000 10.8801
Pm Ho Pa As
2 1 1 5
Direct
0.5000 0.5000 0.2716 Pm
0.5000 0.5000 0.7284 Pm
0.0000 0.0000 0.0000 Ho
0.0000 0.0000 0.5000 Pa
0.0000 0.5000 0.5000 As
0.5000 0.0000 0.5000 As
0.0000 0.0000 0.7541 As
0.0000 0.0000 0.2459 As
0.5000 0.5000 0.0000 As
```

=====

This record from Alexandria describes PmHo2PaAs4 after structural relaxation. The functional is GGA-PBE.

## Properties
formation energy	-1.407	eV/atom
density of states at the Fermi level	0.695	states/eV per atom
volume	24.847	Å³ per atom

```
PmHo2PaAs4
1.0
-3.9843 0.6496 0.8929
-1.5289 -6.6714 -1.9685
0.5599 -4.3480 5.6617
Pm Ho Pa As
1 2 1 4
Direct
0.5000 0.5000 0.0000 Pm
0.0000 0.0000 0.0000 Ho
0.5000 0.0000 0.5000 Ho
0.0000 0.5000 0.5000 Pa
0.0000 0.7536 0.7415 As
0.0000 0.2464 0.2585 As
0.5000 0.7515 0.2546 As
0.5000 0.2485 0.7454 As
```

=====

This record from Alexandria describes Pr2HoPaAs4 after structural relaxation. The functional is GGA-PBE.

## Properties
formation energy	-1.403	eV/atom
density of states at the Fermi level	0.650	states/eV per atom
volume	26.127	Å³ per atom

```
Pr2HoPaAs4
1.0
4.1982 0.0000 0.0000
0.0000 7.2310 0.1173
0.0000 -2.5356 6.8441
Pr Ho Pa As
2 1 1 4
Direct
0.5000 0.0000 0.5000 Pr
0.0000 0.5000 0.5000 Pr
0.0000 0.0000 0.0000 Ho
0.5000 0.5000 0.0000 Pa
0.5000 0.2483 0.2339 As
0.5000 0.7517 0.7661 As
0.0000 0.2573 0.7663 As
0.0000 0.7427 0.2337 As
```

=====

This record from Alexandria describes Pr3Ho2PaAs6 after structural relaxation. The functional is GGA-PBE.

## Properties
formation energy	-1.449	eV/atom
density of states at the Fermi level	0.376	states/eV per atom
volume	26.156	Å³ per atom

```
Pr3Ho2PaAs6
1.0
-0.1538 1.6238 -7.0691
2.2293 -6.5543 2.1687
-7.1583 -0.6898 1.2360
Pr Ho Pa As
3 2 1 6
Direct
0.1680 0.8320 0.5000 Pr
0.8320 0.1680 0.5000 Pr
0.5000 0.5000 0.5000 Pr
0.3338 0.6662 0.0000 Ho
0.6662 0.3338 0.0000 Ho
0.0000 0.0000 0.0000 Pa
0.9220 0.5930 0.7654 As
0.7497 0.7497 0.2344 As
0.0780 0.4070 0.2346 As
0.5930 0.9220 0.7654 As
0.2503 0.2503 0.7656 As
0.4070 0.0780 0.2346 As
```

=====

This record from Alexandria describes HoPu2PaAs4 after structural relaxation. The functional is GGA-PBE.

## Properties
formation energy	-1.164	eV/atom
density of states at the Fermi level	3.335	states/eV per atom
volume	24.721	Å³ per atom

```
HoPu2PaAs4
1.0
-3.6925 0.4336 -1.8016
-0.2683 -7.0381 -1.1440
-2.9081 1.5173 6.3257
Ho Pu Pa As
1 2 1 4
Direct
0.5000 0.5000 0.0000 Ho
0.5000 0.0000 0.5000 Pu
0.0000 0.5000 0.5000 Pu
0.0000 0.0000 0.0000 Pa
0.5000 0.2482 0.2447 As
0.5000 0.7518 0.7553 As
0.0000 0.2479 0.7536 As
0.0000 0.7521 0.2464 As
```